The following is a PBE calculation of a geometry-optimized NdDy2Zn2Si4Au2 structure, from OQMD.

```
NdDy2Zn2Si4Au2
1.0
-2.086 2.096 12.325
2.086 -2.096 12.325
2.086 2.096 -12.325
Au Dy Nd Si Zn
2 2 1 4 2
direct
0.252 0.252 0.000
0.748 0.748 0.000
0.645 0.145 0.500
0.355 0.855 0.500
0.000 0.000 0.000
0.452 0.452 0.000
0.548 0.548 0.000
0.811 0.311 0.500
0.189 0.689 0.500
0.905 0.405 0.500
0.095 0.595 0.500
```

Its crystal system is orthorhombic. Its magnetization is 0.0 μB/cell. The calculation puts the energy above the most stable polymorph in this dataset at 40 meV/atom. Its space-group type is No. 71.


The following is a PBE calculation of a geometry-optimized PrGdCBr structure, from OQMD.

```
PrGdCBr
1.0
3.772 0.000 0.000
-1.886 3.267 0.000
0.000 0.000 14.742
Br C Gd Pr
2 2 2 2
direct
0.667 0.333 0.238
0.333 0.667 0.762
0.000 0.000 0.000
0.000 0.000 0.500
0.333 0.667 0.088
0.667 0.333 0.912
0.333 0.667 0.405
0.667 0.333 0.595
```

Its crystal system is trigonal. The uncorrected energy is -47.946 eV per cell. Its magnetization is 0.0 μB/cell. Its space-group type is No. 164.


The following is a PBE calculation of a geometry-optimized Cu15Sb structure, from OQMD.

```
Cu15Sb
1.0
6.890 0.000 0.000
0.000 2.673 0.000
-0.005 0.000 32.124
Cu Sb
30 2
direct
0.125 0.250 0.201
0.377 0.750 0.238
0.873 0.750 0.238
0.625 0.250 0.280
0.125 0.250 0.280
0.375 0.750 0.319
0.875 0.750 0.320
0.625 0.250 0.360
0.125 0.250 0.360
0.375 0.750 0.400
0.875 0.750 0.400
0.625 0.250 0.440
0.125 0.250 0.440
0.375 0.750 0.480
0.875 0.750 0.480
0.125 0.250 0.520
0.625 0.250 0.520
0.875 0.750 0.560
0.375 0.750 0.560
0.125 0.250 0.600
0.625 0.250 0.600
0.875 0.750 0.640
0.375 0.750 0.640
0.125 0.250 0.680
0.625 0.250 0.681
0.875 0.750 0.720
0.375 0.750 0.720
0.127 0.250 0.762
0.623 0.250 0.762
0.875 0.750 0.799
0.625 0.250 0.185
0.375 0.750 0.815
```

Its crystal system is monoclinic. The calculation puts the energy above the most stable polymorph in this dataset at 60 meV/atom. Its space-group type is No. 11.


The following is a PBE calculation of a geometry-optimized Np structure, from OQMD.

```
Np
1.0
1.081 -2.194 -0.974
2.365 0.789 0.847
-2.140 -0.529 2.375
Np
1
direct
0.000 0.000 0.000
```

Its crystal system is tetragonal. Its energy of formation from the pure elements is 0.152 eV/atom. Its magnetization is 0.0 μB/cell. The calculation puts the energy above the most stable polymorph in this dataset at 152 meV/atom. Its space-group type is No. 139.